1.
Material: In2TcRh
Method: DFT, SCAN
State: single point on PBEsol structure

Cell: 2.9233 3.9514 5.8398 Å, 90.00 90.00 90.00°
Space group Pmm2 (No. 25)
Inequivalent atoms, fractional coordinates:
In (0.0000, 0.0000, 0.0000) x1
In (0.5000, 0.5000, 0.3087) x1
Tc (0.5000, 0.5000, 0.7784) x1
Rh (0.0000, 0.0000, 0.5308) x1

Output
Spin magnetization in μB/f.u.: 1.1
Total energy in eV per atom: -33.74
Relative energy among the computed polymorphs in eV/atom: 0.191

***

2.
Material: ZnNiAgBr2
Method: DFT, SCAN
State: single point on PBEsol structure

Cell: 4.6913 4.6913 5.0591 Å, 90.00 90.00 90.00°
Space group P4/mmm (No. 123)
Inequivalent atoms, fractional coordinates:
Zn (0.0000, 0.0000, 0.0000) x1
Ni (0.5000, 0.5000, 0.5000) x1
Ag (0.5000, 0.5000, 0.0000) x1
Br (0.0000, 0.5000, 0.5000) x2

Output
Uncorrected formation energy in meV/atom: 275
Spin magnetization in μB/f.u.: 0.3
Total energy in eV per atom: -19.72

***

3.
Material: Dy2CuGe6
Method: DFT, SCAN
State: single point on PBEsol structure

Cell: 4.0277 3.9776 21.0677 Å, 90.00 90.00 90.00°
Space group Amm2 (No. 38)
Inequivalent atoms, fractional coordinates:
Dy (0.0000, 0.0000, 0.0000) x2
Dy (0.0000, 0.0000, 0.3366) x2
Cu (0.5000, 0.0000, 0.5561) x2
Ge (0.0000, 0.0000, 0.6169) x2
Ge (0.0000, 0.0000, 0.7338) x2
Ge (0.5000, 0.0000, 0.1173) x2
Ge (0.5000, 0.0000, 0.2344) x2
Ge (0.5000, 0.0000, 0.4473) x2
Ge (0.5000, 0.0000, 0.8744) x2

Output
Spin magnetization in μB/f.u.: 0.0
Total energy in eV per atom: -25.52

***

4.
Material: MnCuNi6
Method: DFT, SCAN
State: single point on PBEsol structure

Cell: 6.9811 9.8788 9.8657 Å, 90.00 90.00 90.00°
Space group Cmmm (No. 65)
Inequivalent atoms, fractional coordinates:
Mn (0.0000, 0.0000, 0.2494) x4
Mn (0.0000, 0.2481, 0.5000) x4
Cu (0.0000, 0.2490, 0.0000) x4
Cu (0.0000, 0.5000, 0.2488) x4
Ni (0.0000, 0.0000, 0.0000) x2
Ni (0.0000, 0.0000, 0.5000) x2
Ni (0.0000, 0.2495, 0.2502) x8
Ni (0.0000, 0.5000, 0.0000) x2
Ni (0.0000, 0.5000, 0.5000) x2
Ni (0.2494, 0.3748, 0.1248) x16
Ni (0.2493, 0.3751, 0.3748) x16

Output
Spin magnetization in μB/f.u.: 7.3
Total energy in eV per atom: -16.41

***

5.
Material: Ca2ZnFeSi4O12
Method: DFT, SCAN
State: single point on PBEsol structure

Cell: 9.8458 8.9306 5.2594 Å, 90.00 105.36 90.00°
Space group C2 (No. 5)
Inequivalent atoms, fractional coordinates:
Ca (0.0000, 0.0000, 0.0000) x2
Ca (0.0000, 0.4033, 0.5000) x2
Zn (0.0000, 0.7934, 0.5000) x2
Fe (0.0000, 0.6049, 0.0000) x2
Si (0.2125, 0.1069, 0.5177) x4
Si (0.2136, 0.2934, 0.0192) x4
O (0.1160, 0.7896, 0.8958) x4
O (0.1175, 0.6111, 0.3996) x4
O (0.1380, 0.9495, 0.4234) x4
O (0.1388, 0.4510, 0.9264) x4
O (0.1481, 0.2202, 0.2549) x4
O (0.1489, 0.1807, 0.7560) x4

Output
Uncorrected formation energy in meV/atom: -2857
Spin magnetization in μB/f.u.: 4.0
Total energy in eV per atom: -11.15

***

6.
Material: Cd3MoO
Method: DFT, SCAN
State: single point on PBEsol structure

Cell: 4.4994 4.4994 4.4994 Å, 90.00 90.00 90.00°
Space group Pm-3m (No. 221)
Inequivalent atoms, fractional coordinates:
Cd (0.0000, 0.0000, 0.5000) x3
Mo (0.5000, 0.5000, 0.5000) x1
O (0.0000, 0.0000, 0.0000) x1

Output
Uncorrected formation energy in meV/atom: 404
Spin magnetization in μB/f.u.: 3.6
Total energy in eV per atom: -26.07

***

7.
Material: AlHgPb2
Method: DFT, SCAN
State: single point on PBEsol structure

Cell: 3.4355 3.4355 29.4887 Å, 90.00 90.00 120.00°
Space group R3m (No. 160, hexagonal axes)
Inequivalent atoms, fractional coordinates:
Al (0.0000, 0.0000, 0.0000) x3
Hg (0.0000, 0.0000, 0.7329) x3
Pb (0.0000, 0.0000, 0.2533) x3
Pb (0.0000, 0.0000, 0.4851) x3

Output
Spin magnetization in μB/f.u.: 0.0
Total energy in eV per atom: -56.79
Relative energy among the computed polymorphs in eV/atom: 0.000

***

8.
Material: BaTl2As2
Method: DFT, SCAN
State: single point on PBEsol structure

Cell: 4.6926 4.6926 13.1590 Å, 90.00 90.00 90.00°
Space group I4/mmm (No. 139)
Inequivalent atoms, fractional coordinates:
Ba (0.0000, 0.0000, 0.0000) x2
Tl (0.0000, 0.5000, 0.2500) x4
As (0.0000, 0.0000, 0.4064) x4

Output
Spin magnetization in μB/f.u.: 0.0
Total energy in eV per atom: -45.45

***

9.
Material: Y2ZrTe
Method: DFT, SCAN
State: single point on PBEsol structure

Cell: 3.6819 3.6819 28.2882 Å, 90.00 90.00 120.00°
Space group R-3m (No. 166, hexagonal axes)
Inequivalent atoms, fractional coordinates:
Y (0.0000, 0.0000, 0.2434) x6
Zr (0.0000, 0.0000, 0.0000) x3
Te (0.0000, 0.0000, 0.5000) x3

Output
Uncorrected formation energy in meV/atom: -464
Spin magnetization in μB/f.u.: 0.0
Total energy in eV per atom: -31.37

***

10.
Material: TaAl2Zn
Method: DFT, SCAN
State: single point on PBEsol structure

Cell: 3.7567 3.7567 8.6989 Å, 90.00 90.00 90.00°
Space group I-4m2 (No. 119)
Inequivalent atoms, fractional coordinates:
Ta (0.0000, 0.0000, 0.0000) x2
Al (0.0000, 0.0000, 0.5000) x2
Al (0.0000, 0.5000, 0.2500) x2
Zn (0.0000, 0.5000, 0.7500) x2

Output
Spin magnetization in μB/f.u.: 0.0
Total energy in eV per atom: -24.13

***

11.
Material: BaGa3Br
Method: DFT, SCAN
State: single point on PBEsol structure

Cell: 5.4203 5.4203 5.4203 Å, 90.00 90.00 90.00°
Space group Pm-3m (No. 221)
Inequivalent atoms, fractional coordinates:
Ba (0.0000, 0.0000, 0.0000) x1
Ga (0.0000, 0.5000, 0.5000) x3
Br (0.5000, 0.5000, 0.5000) x1

Output
Uncorrected formation energy in meV/atom: 99
Spin magnetization in μB/f.u.: 0.0
Total energy in eV per atom: -21.51

***

12.
Material: NaSrCa2F
Method: DFT, SCAN
State: single point on PBEsol structure

Cell: 5.9429 5.9429 6.6694 Å, 90.00 90.00 90.00°
Space group P4/mmm (No. 123)
Inequivalent atoms, fractional coordinates:
Na (0.0000, 0.0000, 0.0000) x1
Sr (0.0000, 0.0000, 0.5000) x1
Ca (0.0000, 0.5000, 0.0000) x2
F (0.5000, 0.5000, 0.5000) x1

Output
Uncorrected formation energy in meV/atom: 56
Spin magnetization in μB/f.u.: 0.0
Total energy in eV per atom: -9.82

***

13.
Material: LaZrTa2
Method: DFT, SCAN
State: single point on PBEsol structure

Cell: 3.0621 3.0621 31.7965 Å, 90.00 90.00 120.00°
Space group R-3m (No. 166, hexagonal axes)
Inequivalent atoms, fractional coordinates:
La (0.0000, 0.0000, 0.0000) x3
Zr (0.0000, 0.0000, 0.5000) x3
Ta (0.0000, 0.0000, 0.2439) x6

Output
Spin magnetization in μB/f.u.: 0.0
Total energy in eV per atom: -51.21
Relative energy among the computed polymorphs in eV/atom: 0.086

***

14.
Material: PbS2I
Method: DFT, SCAN
State: single point on PBEsol structure

Cell: 4.2005 4.2005 24.1611 Å, 90.00 90.00 120.00°
Space group R-3m (No. 166, hexagonal axes)
Inequivalent atoms, fractional coordinates:
Pb (0.0000, 0.0000, 0.0000) x3
S (0.0000, 0.0000, 0.3937) x6
I (0.0000, 0.0000, 0.5000) x3

Output
Uncorrected formation energy in meV/atom: -67
Spin magnetization in μB/f.u.: 0.0
Total energy in eV per atom: -33.01